<w>
A plane-wave DFT calculation with PBE was carried out for RbSbIrI2 after structural relaxation.

The structure in POSCAR format:
```
RbSbIrI2
1.0
6.881 0.000 0.000
0.000 6.881 0.000
0.000 0.000 6.990
Rb Sb Ir I
1 1 1 2
Direct
0.000 0.000 0.000 Rb
0.000 0.000 0.500 Sb
0.500 0.500 0.500 Ir
0.000 0.500 0.000 I
0.500 0.000 0.000 I
```

Values from the calculation:
* crystal system: tetragonal
* DOS at the Fermi energy: 2.21 states/eV per atom

---

<x>
A plane-wave DFT calculation with PBE was carried out for RbSbIrI2 after structural relaxation.

The structure in POSCAR format:
```
RbSbIrI2
1.0
5.956 0.000 0.000
0.000 5.956 0.000
0.000 0.000 4.960
Rb Sb Ir I
1 1 1 2
Direct
0.000 0.000 0.000 Rb
0.500 0.500 0.000 Sb
0.500 0.500 0.500 Ir
0.000 0.500 0.500 I
0.500 0.000 0.500 I
```

Values from the calculation:
* crystal system: tetragonal
* DOS at the Fermi energy: 0.29 states/eV per atom

---

Here is how they stack up, most stable first: <x>, <w>.

---

<w>
A plane-wave DFT calculation with PBE was carried out for RbTeIrI2 after structural relaxation.

The structure in POSCAR format:
```
RbTeIrI2
1.0
5.863 0.000 0.000
0.000 5.863 0.000
0.000 0.000 5.080
Rb Te Ir I
1 1 1 2
Direct
0.000 0.000 0.000 Rb
0.500 0.500 0.000 Te
0.500 0.500 0.500 Ir
0.000 0.500 0.500 I
0.500 0.000 0.500 I
```

Values from the calculation:
* crystal system: tetragonal
* DOS at the Fermi energy: 0.63 states/eV per atom

---

<x>
A plane-wave DFT calculation with PBE was carried out for RbTeIrI2 after structural relaxation.

The structure in POSCAR format:
```
RbTeIrI2
1.0
6.718 0.000 0.000
0.000 6.718 0.000
0.000 0.000 6.759
Rb Te Ir I
1 1 1 2
Direct
0.000 0.000 0.000 Rb
0.000 0.000 0.500 Te
0.500 0.500 0.500 Ir
0.000 0.500 0.000 I
0.500 0.000 0.000 I
```

Values from the calculation:
* crystal system: tetragonal
* DOS at the Fermi energy: 4.34 states/eV per atom

---

Here is how they stack up, most stable first: <w>, <x>.

---

<w>
A plane-wave DFT calculation with PBE was carried out for ReIr3I after structural relaxation.

The structure in POSCAR format:
```
ReIr3I
1.0
4.803 0.000 0.000
0.000 4.803 0.000
0.000 0.000 4.803
Re Ir I
1 3 1
Direct
0.000 0.000 0.000 Re
0.000 0.500 0.500 Ir
0.500 0.000 0.500 Ir
0.500 0.500 0.000 Ir
0.500 0.500 0.500 I
```

Values from the calculation:
* crystal system: cubic
* DOS at the Fermi energy: 1.59 states/eV per atom

---

<x>
A plane-wave DFT calculation with PBE was carried out for ReIr3I after structural relaxation.

The structure in POSCAR format:
```
ReIr3I
1.0
4.802 0.000 0.000
0.000 4.802 0.000
0.000 0.000 4.802
Re Ir I
1 3 1
Direct
0.000 0.000 0.000 Re
0.000 0.000 0.500 Ir
0.000 0.500 0.000 Ir
0.500 0.000 0.000 Ir
0.500 0.500 0.500 I
```

Values from the calculation:
* crystal system: cubic
* DOS at the Fermi energy: 1.01 states/eV per atom

---

Here is how they stack up, most stable first: <x>, <w>.

---

<w>
A plane-wave DFT calculation with PBE was carried out for Re2IrI after structural relaxation.

The structure in POSCAR format:
```
Re2IrI
1.0
-2.972 2.972 5.504
2.972 -2.972 5.504
2.972 2.972 -5.504
Re Ir I
4 2 2
Direct
0.092 0.625 0.967 Re
0.375 0.342 0.467 Re
0.658 0.125 0.033 Re
0.875 0.908 0.533 Re
0.000 0.000 0.000 Ir
0.750 0.250 0.500 Ir
0.250 0.750 0.500 I
0.500 0.500 0.000 I
```

Values from the calculation:
* crystal system: tetragonal
* DOS at the Fermi energy: 0.40 states/eV per atom

---

<x>
A plane-wave DFT calculation with PBE was carried out for Re2IrI after structural relaxation.

The structure in POSCAR format:
```
Re2IrI
1.0
0.000 3.208 3.208
3.208 0.000 3.208
3.208 3.208 0.000
Re Ir I
2 1 1
Direct
0.250 0.250 0.250 Re
0.750 0.750 0.750 Re
0.000 0.000 0.000 Ir
0.500 0.500 0.500 I
```

Values from the calculation:
* crystal system: cubic
* DOS at the Fermi energy: 0.56 states/eV per atom

---

Here is how they stack up, most stable first: <x>, <w>.